[1]
VASP calculation (GGA-PBE) on a geometry-optimized ErNbNO structure.

Computed properties:
Energy above the most stable polymorph in this dataset, eV per atom: 0.144

Lattice parameters (Å, degrees): 3.436 5.988 5.757 90.00 90.00 90.00
Space group Pmc2_1 (No. 26)
Asymmetric unit:
Er (0.000, 0.169, 0.000) [2 per cell]
Nb (0.500, 0.389, 0.432) [2 per cell]
N (0.000, 0.200, 0.398) [2 per cell]
O (0.500, 0.270, 0.793) [2 per cell]



[2]
VASP calculation (GGA-PBE) on a geometry-optimized ErNbN2O structure.

Lattice parameters (Å, degrees): 4.066 4.066 3.915 90.00 90.00 90.00
Space group P4/mmm (No. 123)
Asymmetric unit:
Er (0.000, 0.000, 0.000) [1 per cell]
Nb (0.500, 0.500, 0.500) [1 per cell]
N (0.000, 0.500, 0.500) [2 per cell]
O (0.500, 0.500, 0.000) [1 per cell]



[3]
VASP calculation (GGA-PBE) on a geometry-optimized ErNbNO structure.

Computed properties:
Energy above the most stable polymorph in this dataset, eV per atom: 0.137

Lattice parameters (Å, degrees): 3.311 3.311 4.484 90.00 90.00 90.00
Space group P4/mmm (No. 123)
Asymmetric unit:
Er (0.000, 0.000, 0.000) [1 per cell]
Nb (0.500, 0.500, 0.500) [1 per cell]
N (0.500, 0.500, 0.000) [1 per cell]
O (0.000, 0.000, 0.500) [1 per cell]



[4]
VASP calculation (GGA-PBE) on a geometry-optimized ErNbNO structure.

Computed properties:
Energy above the most stable polymorph in this dataset, eV per atom: 0.286

Lattice parameters (Å, degrees): 11.410 6.815 3.157 90.00 90.22 90.00
Space group Cm (No. 8)
Asymmetric unit:
Er (0.000, 0.000, 0.000) [2 per cell]
Er (0.000, 0.500, 0.490) [2 per cell]
Nb (0.260, 0.286, 0.988) [4 per cell]
N (0.145, 0.500, 0.990) [2 per cell]
N (0.339, 0.500, 0.493) [2 per cell]
O (0.433, 0.203, 0.990) [4 per cell]



no.,final energy (eV per atom)
1,-8.60
2,-8.64
3,-8.61
4,-8.46